NiAgSe2 | PBE-GGA | relaxed

abc: 4.0822 4.0822 5.5170
angles: 90.00 90.00 120.00
Space group P3m1 (No. 156)
Inequivalent atoms, fractional coordinates:
Ni 0.0000 0.0000 0.0000 (multiplicity 1)
Ag 0.6667 0.3333 0.6479 (multiplicity 1)
Se 0.0000 0.0000 0.4147 (multiplicity 1)
Se 0.3333 0.6667 0.9633 (multiplicity 1)

Computed properties:
**Energy relative to the elements, uncorrected**: -39 meV/atom
**Final energy**: -15.76 eV/cell
**Excess energy over the best structure of this formula in the dataset**: 107.7 meV/atom